Entry 1:
The following is a DFT calculation (GGA-PBE) of a relaxed YNiGe2 crystal.

a = 8.6126 Å, b = 8.6126 Å, c = 8.6126 Å
α = 149.10°, β = 149.10°, γ = 44.27°
Fractional positions:
Y 0.0000 0.0000 0.0000
Y 0.7500 0.2500 0.5000
Ni 0.2500 0.7500 0.5000
Ni 0.5000 0.5000 0.0000
Ge 0.2591 0.6250 0.1341
Ge 0.3750 0.5091 0.6341
Ge 0.4909 0.1250 0.8659
Ge 0.8750 0.7409 0.3659

Computed properties:
- calculated total energy (eV/atom) = -5.687
- volume (Å³/f.u.) = 84
- M_tot (μB/f.u.) = 0.00



Entry 2:
The following is a DFT calculation (GGA-PBE) of a relaxed Y3NiGe crystal.

a = 5.1307 Å, b = 5.1307 Å, c = 5.1307 Å
α = 90.00°, β = 90.00°, γ = 90.00°
Fractional positions:
Y 0.0000 0.0000 0.5000
Y 0.0000 0.5000 0.0000
Y 0.5000 0.0000 0.0000
Ni 0.0000 0.0000 0.0000
Ge 0.5000 0.5000 0.5000

Computed properties:
- volume (Å³/f.u.) = 135
- ΔE to the lowest computed polymorph (kJ/mol of formula units) = 0
- M_tot (μB/f.u.) = 0.00



Entry 3:
The following is a DFT calculation (GGA-PBE) of a relaxed Y2Ni12Ge7 crystal.

a = 9.4188 Å, b = 9.4188 Å, c = 3.7935 Å
α = 90.00°, β = 90.00°, γ = 120.00°
Fractional positions:
Y 0.0000 0.0000 0.0000
Y 0.3333 0.6667 0.5000
Ni 0.0373 0.2832 0.5000
Ni 0.1153 0.7302 0.0000
Ni 0.2459 0.9627 0.5000
Ni 0.2698 0.3851 0.0000
Ni 0.3847 0.1830 0.0000
Ni 0.5561 0.4250 0.5000
Ni 0.5750 0.1310 0.5000
Ni 0.6149 0.8847 0.0000
Ni 0.7168 0.7541 0.5000
Ni 0.7983 0.6153 0.0000
Ni 0.8170 0.2017 0.0000
Ni 0.8690 0.4439 0.5000
Ge 0.0611 0.4568 0.0000
Ge 0.2618 0.2298 0.5000
Ge 0.3957 0.9389 0.0000
Ge 0.5432 0.6043 0.0000
Ge 0.6667 0.3333 0.0000
Ge 0.7702 0.0320 0.5000
Ge 0.9680 0.7382 0.5000

Computed properties:
- calculated total energy (eV/atom) = -5.954
- volume (Å³/f.u.) = 291
- M_tot (μB/f.u.) = 0.00



What is the M_tot in the second record? 0.00 μB/f.u.